Record 1
Below is VHF5 after structural relaxation, with properties calculated at the PBE with a Hubbard U level.

a = 4.686 Å, b = 6.851 Å, c = 6.851 Å
α = 90.00°, β = 90.00°, γ = 90.00°
Sites, in units of the cell vectors:
F: 0.737 0.000 0.200
F: 0.263 0.500 0.300
F: 0.737 0.300 0.500
F: 0.263 0.500 0.700
F: 0.737 0.000 0.800
F: 0.213 0.000 0.500
F: 0.787 0.500 0.000
F: 0.263 0.200 0.000
F: 0.263 0.800 0.000
F: 0.737 0.700 0.500
H: 0.011 0.000 0.500
H: 0.989 0.500 0.000
V: 0.500 0.500 0.500
V: 0.500 0.000 0.000

## Properties
- space group = P4/nmm, No. 129
- electronic total energy (eV/atom) = -5.1150
- N(E_F) (states/eV per atom) = 0.0000
- volume (Å³ per cell) = 219.96

***

Record 2
Below is VHF3 after structural relaxation, with properties calculated at the PBE with a Hubbard U level.

a = 3.490 Å, b = 3.490 Å, c = 3.490 Å
α = 90.00°, β = 90.00°, γ = 90.00°
Sites, in units of the cell vectors:
F: 0.500 0.000 0.000
F: 0.000 0.500 0.000
F: 0.000 0.000 0.500
H: 0.000 0.000 0.000
V: 0.500 0.500 0.500

## Properties
- relative energy among the computed polymorphs (kJ/mol of atoms) = 49.9
- space group = Pm-3m, No. 221
- N(E_F) (states/eV per atom) = 0.9213
- volume (Å³ per cell) = 42.51

***

Which formula does entry 1 have? VHF5